Material: AcPrDy2
Method: DFT, PBE
State: optimized geometry

Summary:
Symmetry: P4/mmm
Formation energy from the elements: 42 meV per atom
Energy above the most stable polymorph in this dataset: 2 meV per atom

Geometry as POSCAR:
```
AcPrDy2
1.0
5.101 0.000 0.000
0.000 5.280 0.000
0.000 0.000 5.280
Pr Ac Dy
1 1 2
Direct
0.500 0.000 0.000 Pr
0.500 0.500 0.500 Ac
0.000 0.000 0.500 Dy
0.000 0.500 0.000 Dy
```

***

Material: BeSb2
Method: DFT, PBE
State: optimized geometry

Summary:
Symmetry: Fm-3m
Energy above the most stable polymorph in this dataset: 156 meV per atom
Formation energy without anion corrections: 0.388 eV/atom

Geometry as POSCAR:
```
BeSb2
1.0
4.628 0.000 0.000
2.314 4.008 0.000
2.314 1.336 3.779
Sb Be
2 1
Direct
0.750 0.750 0.750 Sb
0.250 0.250 0.250 Sb
0.000 0.000 0.000 Be
```

***

Material: KRu2W
Method: DFT, PBE
State: optimized geometry

Summary:
Symmetry: Fm-3m
Formation energy from the elements: 1201 meV per atom
Energy above the most stable polymorph in this dataset: 604 meV per atom

Geometry as POSCAR:
```
KRu2W
1.0
0.745 -3.370 2.977
0.135 0.895 4.467
-3.371 -1.431 2.713
Ru K W
2 1 1
Direct
0.250 0.250 0.250 Ru
0.750 0.750 0.750 Ru
0.000 0.000 0.000 K
0.500 0.500 0.500 W
```

***

Material: Mn2TeAuN
Method: DFT, PBE
State: optimized geometry

Summary:
Symmetry: P4/mmm
Formation energy without anion corrections: 1.745 eV/atom

Geometry as POSCAR:
```
Mn2TeAuN
1.0
-4.386 0.840 2.423
-2.602 -0.569 -4.512
-0.460 -4.980 0.893
Te Au Mn N
1 1 2 1
Direct
0.000 0.000 0.000 Te
0.000 0.500 0.000 Au
0.000 0.000 0.500 Mn
0.500 0.000 0.000 Mn
0.500 0.500 0.500 N
```

***

Quick rundown of magnetic moment, same order as above: 0.0; 0.0; 0.0; 10.3 μB per cell
Quick rundown of V, same order as above: 142; 70; 67; 135 Å³/cell
Quick rundown of E_tot, same order as above: -4.48; -3.60; -6.95; -4.87 eV per atom